Record 1
Material: Na2Al12Cu7
Method: DFT, PBE
State: relaxed

```
data_Na2Al12Cu7
_space_group_name_H-M_alt 'P 1'
_space_group_IT_number 1
_cell_length_a 3.836
_cell_length_b 10.138
_cell_length_c 10.138
_cell_angle_alpha 120.00
_cell_angle_beta 90.00
_cell_angle_gamma 90.00
loop_
_space_group_symop_operation_xyz
'x,y,z'
loop_
_atom_site_label
_atom_site_fract_x
_atom_site_fract_y
_atom_site_fract_z
Al1 0.000 0.773 0.719
Al2 0.000 0.052 0.541
Al3 0.000 0.489 0.948
Al4 0.000 0.459 0.511
Al5 0.500 0.558 0.758
Al6 0.500 0.242 0.800
Al7 0.500 0.906 0.620
Al8 0.000 0.946 0.227
Al9 0.500 0.200 0.442
Al10 0.500 0.380 0.286
Al11 0.500 0.714 0.094
Al12 0.000 0.281 0.054
Cu1 0.000 0.333 0.667
Cu2 0.000 0.057 0.791
Cu3 0.000 0.209 0.266
Cu4 0.500 0.457 0.086
Cu5 0.500 0.914 0.371
Cu6 0.000 0.734 0.943
Cu7 0.500 0.629 0.543
Na1 0.500 0.000 0.000
Na2 0.000 0.667 0.333
```

Calculated values
- Calculated volume: 341.5 Å³/cell
- N(E_F): 0.094 states/eV per atom
- Symmetry: No. 174
- Total energy: -3.74 eV per atom
- Formation energy: -0.110 eV/atom


Record 2
Material: Li2CuPt2
Method: DFT, PBE
State: relaxed

```
data_Li2CuPt2
_space_group_name_H-M_alt 'P 1'
_space_group_IT_number 1
_cell_length_a 6.828
_cell_length_b 6.828
_cell_length_c 2.970
_cell_angle_alpha 90.00
_cell_angle_beta 90.00
_cell_angle_gamma 90.00
loop_
_space_group_symop_operation_xyz
'x,y,z'
loop_
_atom_site_label
_atom_site_fract_x
_atom_site_fract_y
_atom_site_fract_z
Cu1 0.000 0.000 0.000
Cu2 0.500 0.500 0.000
Li1 0.656 0.844 0.500
Li2 0.844 0.344 0.500
Li3 0.156 0.656 0.500
Li4 0.344 0.156 0.500
Pt1 0.856 0.644 0.000
Pt2 0.644 0.144 0.000
Pt3 0.144 0.356 0.000
Pt4 0.356 0.856 0.000
```

Calculated values
- Calculated volume: 138.5 Å³/cell
- N(E_F): 0.277 states/eV per atom
- Energy relative to the lowest polymorph listed for this composition: 150.3 meV/atom
- Symmetry: No. 127
- Total energy: -4.23 eV per atom
- Formation energy: -0.233 eV/atom


Record 3
Material: LiHoPd
Method: DFT, PBE
State: relaxed

```
data_LiHoPd
_space_group_name_H-M_alt 'P 1'
_space_group_IT_number 1
_cell_length_a 4.080
_cell_length_b 7.118
_cell_length_c 7.118
_cell_angle_alpha 120.00
_cell_angle_beta 90.00
_cell_angle_gamma 90.00
loop_
_space_group_symop_operation_xyz
'x,y,z'
loop_
_atom_site_label
_atom_site_fract_x
_atom_site_fract_y
_atom_site_fract_z
Pd1 0.000 0.667 0.333
Pd2 0.500 0.000 0.000
Pd3 0.000 0.333 0.667
Ho1 0.500 0.000 0.588
Ho2 0.500 0.412 0.412
Ho3 0.500 0.588 0.000
Li1 0.000 0.235 0.000
Li2 0.000 0.765 0.765
Li3 0.000 0.000 0.235
```

Calculated values
- Calculated volume: 179.0 Å³/cell
- N(E_F): 0.650 states/eV per atom
- Energy relative to the lowest polymorph listed for this composition: 0.0 meV/atom
- Symmetry: No. 189
- Total energy: -4.50 eV per atom
- Formation energy: -0.605 eV/atom


Record 4
Material: Hg2IrBr
Method: DFT, PBE
State: relaxed

```
data_Hg2IrBr
_space_group_name_H-M_alt 'P 1'
_space_group_IT_number 1
_cell_length_a 5.650
_cell_length_b 5.650
_cell_length_c 5.650
_cell_angle_alpha 137.27
_cell_angle_beta 137.27
_cell_angle_gamma 62.03
loop_
_space_group_symop_operation_xyz
'x,y,z'
loop_
_atom_site_label
_atom_site_fract_x
_atom_site_fract_y
_atom_site_fract_z
Br1 0.750 0.250 0.500
Ir1 0.250 0.750 0.500
Hg1 0.000 0.000 0.000
Hg2 0.500 0.500 0.000
```

Calculated values
- Calculated volume: 82.1 Å³/cell
- N(E_F): 0.416 states/eV per atom
- E_form (uncorrected): 73 kJ per mole of atoms
- Energy relative to the lowest polymorph listed for this composition: 451.4 meV/atom
- Symmetry: No. 139
- Total energy: -2.02 eV per atom


Record 5
Material: DyHoPu2Sb4
Method: DFT, PBE
State: relaxed

```
data_DyHoPu2Sb4
_space_group_name_H-M_alt 'P 1'
_space_group_IT_number 1
_cell_length_a 4.406
_cell_length_b 7.632
_cell_length_c 7.602
_cell_angle_alpha 109.54
_cell_angle_beta 90.00
_cell_angle_gamma 90.00
loop_
_space_group_symop_operation_xyz
'x,y,z'
loop_
_atom_site_label
_atom_site_fract_x
_atom_site_fract_y
_atom_site_fract_z
Dy1 0.500 0.500 0.000
Sb1 0.500 0.249 0.249
Sb2 0.000 0.250 0.751
Sb3 0.500 0.751 0.751
Sb4 0.000 0.750 0.249
Pu1 0.500 0.000 0.500
Pu2 0.000 0.500 0.500
Ho1 0.000 0.000 0.000
```

Calculated values
- Calculated volume: 240.9 Å³/cell
- N(E_F): 3.472 states/eV per atom
- E_form (uncorrected): -83 kJ per mole of atoms
- Symmetry: No. 10
- Total energy: -7.65 eV per atom


Record 6
Material: Hg2C
Method: DFT, PBE
State: relaxed

```
data_Hg2C
_space_group_name_H-M_alt 'P 1'
_space_group_IT_number 1
_cell_length_a 3.792
_cell_length_b 3.792
_cell_length_c 16.296
_cell_angle_alpha 90.00
_cell_angle_beta 90.00
_cell_angle_gamma 120.00
loop_
_space_group_symop_operation_xyz
'x,y,z'
loop_
_atom_site_label
_atom_site_fract_x
_atom_site_fract_y
_atom_site_fract_z
Hg1 0.000 0.000 0.899
Hg2 0.667 0.333 0.258
Hg3 0.667 0.333 0.428
Hg4 0.333 0.667 0.572
Hg5 0.000 0.000 0.101
Hg6 0.333 0.667 0.742
C1 0.667 0.333 0.121
C2 0.000 0.000 0.500
C3 0.333 0.667 0.879
```

Calculated values
- Calculated volume: 203.0 Å³/cell
- N(E_F): 0.424 states/eV per atom
- Energy relative to the lowest polymorph listed for this composition: 1002.6 meV/atom
- Symmetry: No. 164
- Total energy: -1.80 eV per atom
- Formation energy: 1.474 eV/atom